The following is a DFT calculation (GGA-PBEsol) of a geometry-optimized Nb2NiO6 structure. Values from VASP.

Calculated values
The value obtained for the excess energy over the best structure of this formula in the dataset is 30 meV per atom.

The structure in Quantum ESPRESSO input format:
```
&SYSTEM
  ibrav = 0, nat = 18, ntyp = 3
/
ATOMIC_SPECIES
O 16.00 O.upf
Nb 92.91 Nb.upf
Ni 58.69 Ni.upf
ATOMIC_POSITIONS crystal
O 0.799 0.201 0.169
O 0.696 0.696 0.000
Nb 0.000 0.000 0.331
O 0.701 0.701 0.331
O 0.299 0.299 0.669
Ni 0.000 0.000 0.000
O 0.304 0.304 0.000
O 0.701 0.701 0.669
Ni 0.500 0.500 0.500
O 0.201 0.799 0.831
O 0.804 0.196 0.500
Nb 0.500 0.500 0.169
Nb 0.000 0.000 0.669
O 0.799 0.201 0.831
O 0.196 0.804 0.500
O 0.201 0.799 0.169
O 0.299 0.299 0.331
Nb 0.500 0.500 0.831
CELL_PARAMETERS angstrom
-1.448 -0.524 4.483
3.513 -3.086 0.774
5.400 6.783 2.537
```

---

The following is a DFT calculation (GGA-PBEsol) of a geometry-optimized NbNi3P4O16 structure. Values from VASP.

The structure in Quantum ESPRESSO input format:
```
&SYSTEM
  ibrav = 0, nat = 24, ntyp = 4
/
ATOMIC_SPECIES
O 16.00 O.upf
Ni 58.69 Ni.upf
P 30.97 P.upf
Nb 92.91 Nb.upf
ATOMIC_POSITIONS crystal
O 0.169 0.000 0.438
O 0.714 0.000 0.110
O 0.769 0.295 0.839
Ni 0.552 0.000 0.780
O 0.745 0.287 0.329
O 0.745 0.713 0.329
Ni 0.445 0.500 0.232
O 0.774 0.000 0.614
O 0.326 0.000 0.941
O 0.236 0.791 0.668
O 0.236 0.209 0.668
O 0.839 0.500 0.554
O 0.241 0.209 0.169
O 0.310 0.500 0.878
P 0.394 0.000 0.095
Nb 0.040 0.500 0.725
O 0.769 0.705 0.839
Ni 0.954 0.000 0.266
O 0.217 0.500 0.391
P 0.901 0.500 0.393
P 0.084 0.000 0.585
O 0.241 0.791 0.169
O 0.676 0.500 0.070
P 0.621 0.500 0.921
CELL_PARAMETERS angstrom
4.766 0.000 -0.006
0.000 5.720 0.000
-0.138 0.000 9.792
```

---

In the order shown, the computed total magnetic moment values come out to 2.04, 4.88 μB per formula unit.
In the order shown, the computed energy relative to the elements, uncorrected values come out to -18.762, -42.372 eV/f.u..